# YMoPt2

A PBEsol-optimized structure of YMoPt2 (SCAN, Alexandria).

Computed properties:
The uncorrected energy comes out at -204.77 eV/f.u. For the energy relative to the elements, the calculation gives -414 meV/atom. For the density of states at the Fermi level, the calculation gives 9.0 states/eV per cell.

CIF file:
```
data_YMoPt2
_chemical_formula_sum 'Y2 Mo2 Pt4'
_symmetry_space_group_name_H-M 'I -4 m 2'
_symmetry_Int_Tables_number 119
_symmetry_space_group_name_Hall 'I -4 -2'
_cell_length_a 4.0358
_cell_length_b 4.0358
_cell_length_c 8.3946
_cell_angle_alpha 90.00
_cell_angle_beta 90.00
_cell_angle_gamma 90.00
loop_
_atom_site_label
_atom_site_fract_x
_atom_site_fract_y
_atom_site_fract_z
Y1 0.0000 0.0000 0.0000
Mo1 0.0000 0.5000 0.7500
Pt1 0.0000 0.0000 0.5000
Pt2 0.0000 0.5000 0.2500
```